No. 1
VASP calculation (meta-GGA SCAN) on a crystal of ThTlCuSe3 relaxed with PBEsol.

- Total energy: -1002.581 eV/cell
- ΔE_f (raw): -1.1556 eV per atom

a b c (Å): 4.1206 14.2414 10.7544
angles (deg): 90.00 90.00 90.00
Last column: nearest neighbours and their distance in Å.
Space group Cmcm (No. 63)
Symmetry-distinct sites (fractional):
Th: 0.0000 0.0000 0.0000 [4 per cell]  6 Se 2.87-2.89
Tl: 0.0000 0.2491 0.2500 [4 per cell]  6 Se 3.29
Cu: 0.0000 0.4696 0.7500 [4 per cell]  4 Se 2.44-2.51
Se: 0.0000 0.0706 0.7500 [4 per cell]  2 Cu 2.51
Se: 0.0000 0.3673 0.5686 [8 per cell]  1 Cu 2.44

No. 2
VASP calculation (meta-GGA SCAN) on a crystal of Tl2CuSe relaxed with PBEsol.

- Total energy: -179.138 eV/cell
- ΔE_f (raw): 0.2141 eV per atom

a b c (Å): 4.4503 4.4503 4.5887
angles (deg): 90.00 90.00 90.00
Last column: nearest neighbours and their distance in Å.
Space group P4/mmm (No. 123)
Symmetry-distinct sites (fractional):
Tl: 0.0000 0.5000 0.0000 [2 per cell]  4 Tl 3.15, 4 Se 3.20, 4 Cu 3.20
Cu: 0.0000 0.0000 0.5000 [1 per cell]  4 Se 3.15, 8 Tl 3.20
Se: 0.5000 0.5000 0.5000 [1 per cell]  4 Cu 3.15, 8 Tl 3.20

No. 3
VASP calculation (meta-GGA SCAN) on a crystal of TlCu2Se2 relaxed with PBEsol.

- Total energy: -288.574 eV/cell
- ΔE_f (raw): -0.2746 eV per atom

a b c (Å): 3.7738 3.7738 14.0909
angles (deg): 90.00 90.00 90.00
Last column: nearest neighbours and their distance in Å.
Space group I4/mmm (No. 139)
Symmetry-distinct sites (fractional):
Tl: 0.0000 0.0000 0.0000 [2 per cell]  8 Se 3.32
Cu: 0.0000 0.5000 0.2500 [4 per cell]  4 Se 2.44, 4 Cu 2.67
Se: 0.0000 0.0000 0.3594 [4 per cell]  4 Cu 2.44

No. 4
VASP calculation (meta-GGA SCAN) on a crystal of TlCu2Se relaxed with PBEsol.

- ΔE to the lowest computed polymorph: 0.000 eV/atom
- Total energy: -243.696 eV/cell
- ΔE_f (raw): 0.2469 eV per atom

a b c (Å): 3.9125 5.6020 6.7778
angles (deg): 90.00 90.00 90.00
Last column: nearest neighbours and their distance in Å.
Space group Immm (No. 71)
Symmetry-distinct sites (fractional):
Tl: 0.0000 0.0000 0.0000 [2 per cell]  4 Cu 2.75
Cu: 0.0000 0.5000 0.2148 [4 per cell]  2 Se 2.44
Se: 0.0000 0.0000 0.5000 [2 per cell]  4 Cu 2.44

No. 5
VASP calculation (meta-GGA SCAN) on a crystal of TlCu4Se3 relaxed with PBEsol.

- Total energy: -194.971 eV/cell
- ΔE_f (raw): -0.1975 eV per atom

a b c (Å): 3.8188 3.8188 10.1120
angles (deg): 90.00 90.00 90.00
Last column: nearest neighbours and their distance in Å.
Space group P4/mmm (No. 123)
Symmetry-distinct sites (fractional):
Tl: 0.0000 0.0000 0.0000 [1 per cell]  8 Se 3.33
Cu: 0.0000 0.5000 0.3375 [4 per cell]  4 Se 2.40-2.52
Se: 0.0000 0.0000 0.5000 [1 per cell]  8 Cu 2.52
Se: 0.5000 0.5000 0.1932 [2 per cell]  4 Cu 2.40

No. 6
VASP calculation (meta-GGA SCAN) on a crystal of TlCu2Se relaxed with PBEsol.

- ΔE to the lowest computed polymorph: 0.048 eV/atom
- Total energy: -121.655 eV/cell
- ΔE_f (raw): 0.2952 eV per atom

a b c (Å): 3.3019 3.3019 6.3848
angles (deg): 90.00 90.00 90.00
Last column: nearest neighbours and their distance in Å.
Space group P4/mmm (No. 123)
Symmetry-distinct sites (fractional):
Tl: 0.0000 0.0000 0.0000 [1 per cell]  8 Cu 3.04, 2 Se 3.19, 4 Tl 3.30
Cu: 0.5000 0.5000 0.3046 [2 per cell]  1 Cu 2.50, 4 Se 2.65
Se: 0.0000 0.0000 0.5000 [1 per cell]  8 Cu 2.65

No. 7
VASP calculation (meta-GGA SCAN) on a crystal of Tl3CuSe relaxed with PBEsol.

- Total energy: -252.373 eV/cell
- ΔE_f (raw): -0.0040 eV per atom

a b c (Å): 5.0783 5.0783 5.0783
angles (deg): 90.00 90.00 90.00
Last column: nearest neighbours and their distance in Å.
Space group Pm-3m (No. 221)
Symmetry-distinct sites (fractional):
Tl: 0.0000 0.0000 0.5000 [3 per cell]  2 Cu 2.54
Cu: 0.0000 0.0000 0.0000 [1 per cell]  6 Tl 2.54
Se: 0.5000 0.5000 0.5000 [1 per cell]  12 Tl 3.59

No. 8
VASP calculation (meta-GGA SCAN) on a crystal of TmCuSe2 relaxed with PBEsol.

- Total energy: -112.563 eV/cell
- ΔE_f (raw): -1.3438 eV per atom

a b c (Å): 3.9957 3.9957 6.2738
angles (deg): 90.00 90.00 120.00
Last column: nearest neighbours and their distance in Å.
Space group P3m1 (No. 156)
Symmetry-distinct sites (fractional):
Tm: 0.0000 0.0000 0.0000 [1 per cell]  6 Se 2.75-2.87
Cu: 0.3333 0.6667 0.6216 [1 per cell]  4 Se 2.40
Se: 0.3333 0.6667 0.2386 [1 per cell]  1 Cu 2.40
Se: 0.6667 0.3333 0.7289 [1 per cell]  3 Cu 2.40

No. 9
VASP calculation (meta-GGA SCAN) on a crystal of VCu3Se4 relaxed with PBEsol.

- Total energy: -147.723 eV/cell
- ΔE_f (raw): -0.5403 eV per atom

a b c (Å): 5.5026 5.5026 5.5026
angles (deg): 90.00 90.00 90.00
Last column: nearest neighbours and their distance in Å.
Space group P-43m (No. 215)
Symmetry-distinct sites (fractional):
V: 0.0000 0.0000 0.0000 [1 per cell]  4 Se 2.35
Cu: 0.0000 0.0000 0.5000 [3 per cell]  4 Se 2.37
Se: 0.2467 0.2467 0.2467 [4 per cell]  1 V 2.35, 3 Cu 2.37

No. 10
VASP calculation (meta-GGA SCAN) on a crystal of Cu2WSe4 relaxed with PBEsol.

- Total energy: -365.766 eV/cell
- ΔE_f (raw): -0.3546 eV per atom

a b c (Å): 5.4823 5.4823 10.7599
angles (deg): 90.00 90.00 90.00
Last column: nearest neighbours and their distance in Å.
Space group I-42m (No. 121)
Symmetry-distinct sites (fractional):
Cu: 0.0000 0.5000 0.0000 [4 per cell]  4 Se 2.40
W: 0.0000 0.0000 0.0000 [2 per cell]  4 Se 2.37
Se: 0.2447 0.2447 0.8683 [8 per cell]  1 W 2.37, 2 Cu 2.40

No. 11
VASP calculation (meta-GGA SCAN) on a crystal of CuW2Se relaxed with PBEsol.

- Total energy: -343.735 eV/cell
- ΔE_f (raw): 0.6966 eV per atom

a b c (Å): 3.0737 4.4497 8.7730
angles (deg): 90.00 90.00 90.00
Last column: nearest neighbours and their distance in Å.
Space group Immm (No. 71)
Symmetry-distinct sites (fractional):
Cu: 0.0000 0.0000 0.0000 [2 per cell]  4 Se 2.70, 8 W 2.79-3.03
W: 0.0000 0.5000 0.2340 [4 per cell]  2 Se 2.56, 4 W 2.72, 2 Cu 2.79
Se: 0.0000 0.0000 0.5000 [2 per cell]  4 W 2.56, 4 Cu 2.70

No. 12
VASP calculation (meta-GGA SCAN) on a crystal of CuW2Se relaxed with PBEsol.

- Total energy: -172.126 eV/cell
- ΔE_f (raw): 0.6320 eV per atom

a b c (Å): 2.9007 4.4756 4.6449
angles (deg): 90.00 92.10 90.00
Last column: nearest neighbours and their distance in Å.
Space group Pm (No. 6)
Symmetry-distinct sites (fractional):
Cu: 0.0000 0.0000 0.0000 [1 per cell]  6 W 2.59-2.81, 4 Se 2.70-2.89, 2 Cu 2.90
W: 0.0945 0.5000 0.2775 [1 per cell]  3 Se 2.53-2.83, 2 Cu 2.59, 2 W 2.72
W: 0.4984 0.0000 0.5069 [1 per cell]  4 Cu 2.67-2.81, 2 Se 2.68, 4 W 2.72-2.90
Se: 0.5531 0.5000 0.8250 [1 per cell]  5 W 2.53-2.83, 2 Cu 2.70

No. 13
VASP calculation (meta-GGA SCAN) on a crystal of YCu3Se3 relaxed with PBEsol.

- Total energy: -837.125 eV/cell
- ΔE_f (raw): -0.8350 eV per atom

a b c (Å): 6.8649 6.8649 19.4668
angles (deg): 90.00 90.00 120.00
Last column: nearest neighbours and their distance in Å.
Space group R-3 (No. 148, hexagonal axes)
Symmetry-distinct sites (fractional):
Y: 0.0000 0.0000 0.1664 [6 per cell]  6 Se 2.83-2.84
Cu: 0.0042 0.6462 0.6251 [18 per cell]  4 Se 2.40-2.48
Se: 0.0017 0.6836 0.4182 [18 per cell]  4 Cu 2.40-2.48

No. 14
VASP calculation (meta-GGA SCAN) on a crystal of ZnCuSe3 relaxed with PBEsol.

- Total energy: -86.205 eV/cell
- ΔE_f (raw): 0.5490 eV per atom

a b c (Å): 4.7109 4.7109 4.7109
angles (deg): 90.00 90.00 90.00
Last column: nearest neighbours and their distance in Å.
Space group Pm-3m (No. 221)
Symmetry-distinct sites (fractional):
Zn: 0.0000 0.0000 0.0000 [1 per cell]  12 Se 3.33
Cu: 0.5000 0.5000 0.5000 [1 per cell]  6 Se 2.36
Se: 0.0000 0.5000 0.5000 [3 per cell]  2 Cu 2.36

No. 15
VASP calculation (meta-GGA SCAN) on a crystal of ZnCuSe2 relaxed with PBEsol.

- Total energy: -282.262 eV/cell
- ΔE_f (raw): -0.4236 eV per atom

a b c (Å): 5.5185 5.5185 11.0282
angles (deg): 90.00 90.00 90.00
Last column: nearest neighbours and their distance in Å.
Space group I-42d (No. 122)
Symmetry-distinct sites (fractional):
Zn: 0.0000 0.0000 0.0000 [4 per cell]  4 Se 2.43
Cu: 0.0000 0.0000 0.5000 [4 per cell]  4 Se 2.35
Se: 0.2376 0.2500 0.6250 [8 per cell]  2 Cu 2.35, 2 Zn 2.43

No. 16
VASP calculation (meta-GGA SCAN) on a crystal of ZnCuSe2 relaxed with PBEsol.

- Total energy: -137.728 eV/cell
- ΔE_f (raw): 0.0019 eV per atom

a b c (Å): 3.5100 6.9922 6.8306
angles (deg): 90.00 90.00 90.00
Last column: nearest neighbours and their distance in Å.
Space group Cmmm (No. 65)
Symmetry-distinct sites (fractional):
Zn: 0.0000 0.0000 0.0000 [2 per cell]  4 Se 2.50
Cu: 0.0000 0.0000 0.5000 [2 per cell]  4 Se 2.40
Se: 0.0000 0.5000 0.2598 [4 per cell]  2 Cu 2.40, 2 Zn 2.50

No. 17
VASP calculation (meta-GGA SCAN) on a crystal of Zr2CuSe relaxed with PBEsol.

- Total energy: -98.737 eV/cell
- ΔE_f (raw): -0.5155 eV per atom

a b c (Å): 4.6708 4.6708 3.1978
angles (deg): 90.00 90.00 90.00
Last column: nearest neighbours and their distance in Å.
Space group P4/mmm (No. 123)
Symmetry-distinct sites (fractional):
Zr: 0.0000 0.5000 0.0000 [2 per cell]  4 Se 2.83, 4 Cu 2.83
Cu: 0.0000 0.0000 0.5000 [1 per cell]  8 Zr 2.83
Se: 0.5000 0.5000 0.5000 [1 per cell]  8 Zr 2.83

No. 18
VASP calculation (meta-GGA SCAN) on a crystal of ZrCuSe3 relaxed with PBEsol.

- Total energy: -106.729 eV/cell
- ΔE_f (raw): -0.1191 eV per atom

a b c (Å): 5.1275 5.1275 5.1275
angles (deg): 90.00 90.00 90.00
Last column: nearest neighbours and their distance in Å.
Space group Pm-3m (No. 221)
Symmetry-distinct sites (fractional):
Zr: 0.0000 0.0000 0.0000 [1 per cell]  6 Se 2.56
Cu: 0.5000 0.5000 0.5000 [1 per cell]  12 Se 3.63
Se: 0.0000 0.0000 0.5000 [3 per cell]  2 Zr 2.56

No. 19
VASP calculation (meta-GGA SCAN) on a crystal of Zr2CuSe relaxed with PBEsol.

- Total energy: -196.198 eV/cell
- ΔE_f (raw): -0.3559 eV per atom

a b c (Å): 3.8728 3.8728 9.4657
angles (deg): 90.00 90.00 90.00
Last column: nearest neighbours and their distance in Å.
Space group I-4m2 (No. 119)
Symmetry-distinct sites (fractional):
Zr: 0.0000 0.0000 0.0000 [2 per cell]  4 Cu 2.74, 4 Zr 3.06, 4 Se 3.06
Zr: 0.0000 0.5000 0.2500 [2 per cell]  4 Se 2.74, 4 Zr 3.06, 4 Cu 3.06
Cu: 0.0000 0.0000 0.5000 [2 per cell]  8 Zr 2.74-3.06, 4 Se 3.06
Se: 0.0000 0.5000 0.7500 [2 per cell]  8 Zr 2.74-3.06, 4 Cu 3.06

No. 20
VASP calculation (meta-GGA SCAN) on a crystal of Cu2Si relaxed with PBEsol.

- Total energy: -161.774 eV/cell
- ΔE_f (raw): -0.0097 eV per atom

a b c (Å): 7.4628 4.3198 4.3600
angles (deg): 90.00 90.00 90.00
Last column: nearest neighbours and their distance in Å.
Space group Cmcm (No. 63)
Symmetry-distinct sites (fractional):
Cu: 0.1661 0.1830 0.2500 [8 per cell]  7 Cu 2.48-2.69, 5 Si 2.49-2.57
Si: 0.0000 0.3178 0.7500 [4 per cell]  10 Cu 2.49-2.57, 2 Si 2.69